Record 1
10
Lattice="5.0543 2.9181 4.0094 -5.0543 2.9181 4.0094 0.0000 -5.8362 4.0094" Properties=species:S:1:pos:R:3 comment="La3Pm6Th (PBE, optimized geometry)" formation_energy_ev_per_atom=0.259 sg="R3, No. 146" dos_ef_per_ev_atom=1.90 pbc="T T T"
La 0.0000 0.0000 0.0000
La 0.0000 0.0000 2.8855
La 0.0000 0.0000 9.0588
Pm -3.3740 0.0690 3.9686
Pm -1.6486 -2.8006 5.9464
Pm 1.6273 -2.9565 3.9686
Pm -1.6011 2.8281 5.9464
Pm 1.7467 2.8875 3.9686
Pm 3.2497 -0.0274 5.9464
Th 0.0000 0.0000 6.0473

=====

Record 2
12
Lattice="6.2096 -3.3808 0.0000 6.2096 3.3808 0.0000 0.0000 0.0000 8.1129" Properties=species:S:1:pos:R:3 comment="AsPH2Br2 (PBE, optimized geometry)" sg="Cmc2_1, No. 36" e_tot_ev_per_atom=-3.552 dos_ef_per_ev_atom=0.00 pbc="T T T"
As 6.2096 1.7992 4.0564
As 6.2096 -1.7992 0.0000
P 6.2096 0.3849 0.9090
P 6.2096 -0.3849 4.9654
H 5.1677 0.8294 0.0337
H 7.2516 0.8294 0.0337
H 5.1677 -0.8294 4.0902
H 7.2516 -0.8294 4.0902
Br 1.8696 0.8567 1.3226
Br 1.8696 -0.8567 5.3791
Br 10.5497 0.8567 1.3226
Br 10.5497 -0.8567 5.3791

=====

Record 3
7
Lattice="-2.3775 2.3775 7.5231 2.3775 -2.3775 7.5231 2.3775 2.3775 -7.5231" Properties=species:S:1:pos:R:3 comment="Er2Ga4Tc (PBE, optimized geometry)" formation_energy_ev_per_atom=0.034 sg="I4/mmm, No. 139" dos_ef_per_ev_atom=0.63 pbc="T T T"
Er 0.0000 0.0000 2.5724
Er 0.0000 0.0000 12.4737
Ga 2.3775 0.0000 0.0000
Ga 0.0000 0.0000 5.5069
Ga 0.0000 2.3775 0.0000
Ga 0.0000 0.0000 9.5392
Tc 0.0000 0.0000 0.0000

=====

Record 4
4
Lattice="1.5691 0.9059 8.0259 -1.5691 0.9059 8.0259 0.0000 -1.8118 8.0259" Properties=species:S:1:pos:R:3 comment="SiRh2Pb (PBE, optimized geometry)" relative_energy_mev_per_atom=157 sg="R-3m, No. 166" dos_ef_per_ev_atom=0.41 pbc="T T T"
Si 0.0000 0.0000 0.0000
Rh 0.0000 0.0000 6.4245
Rh 0.0000 0.0000 17.6531
Pb 0.0000 0.0000 12.0388

=====

Record 5
6
Lattice="5.6671 -1.3879 0.0000 5.6671 1.3879 0.0000 -2.1498 0.0000 4.9686" Properties=species:S:1:pos:R:3 comment="IrPdO (PBE, optimized geometry)" sg="C2/m, No. 12" e_tot_ev_per_atom=-6.259 dos_ef_per_ev_atom=0.96 pbc="T T T"
Ir 2.1351 0.0000 1.3855
Ir 7.0492 0.0000 3.5832
Pd 3.6688 0.0000 3.6308
Pd 5.5155 0.0000 1.3378
O -0.1321 0.0000 4.2608
O 9.3164 0.0000 0.7078

=====

Record 6
18
Lattice="7.5821 0.0000 0.0000 -3.7910 6.5663 0.0000 0.0000 0.0000 14.5300" Properties=species:S:1:pos:R:3 comment="NaYMnI6 (PBE, optimized geometry)" sg="P-31c, No. 163" e_tot_ev_per_atom=-3.943 dos_ef_per_ev_atom=0.00 pbc="T T T"
Na 0.0000 0.0000 0.0000
Na 0.0000 0.0000 7.2650
Y 0.0000 4.3775 3.6325
Y 3.7911 2.1888 10.8975
Mn 0.0000 4.3775 10.8975
Mn 3.7911 2.1888 3.6325
I -1.2801 2.3778 9.1921
I -2.3718 4.2688 12.6029
I 1.2801 2.3778 12.6029
I -1.0918 6.4860 9.1921
I 2.6993 0.0803 1.9271
I 1.4192 2.2975 5.3379
I 2.3718 4.2688 9.1921
I 1.0918 6.4860 12.6029
I 4.8828 0.0803 5.3379
I 2.5110 4.1885 1.9271
I 6.1629 2.2975 1.9271
I 5.0711 4.1885 5.3379

=====

Record 7
4
Lattice="0.0000 3.8439 3.8439 3.8439 0.0000 3.8439 3.8439 3.8439 0.0000" Properties=species:S:1:pos:R:3 comment="KNaAlTl (PBE, optimized geometry)" formation_energy_ev_per_atom=0.110 sg="F-43m, No. 216" dos_ef_per_ev_atom=0.24 pbc="T T T"
K 0.0000 0.0000 0.0000
Na 1.9219 1.9219 1.9219
Al 3.8439 3.8439 3.8439
Tl 5.7658 5.7658 5.7658

=====

Record 8
4
Lattice="2.7240 0.0000 0.0000 0.0000 2.7240 0.0000 0.0000 0.0000 7.7786" Properties=species:S:1:pos:R:3 comment="CrRu2Au (PBE, optimized geometry)" formation_energy_ev_per_atom=0.234 relative_energy_mev_per_atom=36 sg="P4/mmm, No. 123" dos_ef_per_ev_atom=1.64 pbc="T T T"
Cr 0.0000 0.0000 0.0000
Ru 1.3620 1.3620 1.6958
Ru 1.3620 1.3620 6.0828
Au 0.0000 0.0000 3.8893

=====

Record 9
4
Lattice="0.0000 3.7113 3.7113 3.7113 0.0000 3.7113 3.7113 3.7113 0.0000" Properties=species:S:1:pos:R:3 comment="Tl2CdP (PBE, optimized geometry)" formation_energy_ev_per_atom=0.283 relative_energy_mev_per_atom=203 sg="F-43m, No. 216" dos_ef_per_ev_atom=0.50 pbc="T T T"
Tl 0.0000 0.0000 0.0000
Tl 1.8557 1.8557 1.8557
Cd 3.7113 3.7113 3.7113
P 5.5670 5.5670 5.5670